# 1
Here is a relaxed La3TbS6 crystal from the Alexandria database. Energies are from PBE-GGA.

Cell: 11.3673 4.1518 11.7726 Å, 90.00 107.10 90.00°
Last column: nearest neighbours and their distance in Å.
Space group P2_1/m (No. 11)
Asymmetric unit:
La: 0.0789 0.2500 0.1705 (multiplicity 2)  6 S 2.81-2.94
La: 0.1847 0.7500 0.5091 (multiplicity 2)  7 S 2.82-3.12
La: 0.3383 0.2500 0.9178 (multiplicity 2)  6 S 2.82-2.92
Tb: 0.4587 0.2500 0.3198 (multiplicity 2)  6 S 2.84-3.03
S: 0.0264 0.2500 0.3890 (multiplicity 2)  4 La 2.81-2.98
S: 0.0911 0.2500 0.9286 (multiplicity 2)  4 La 2.84-2.89
S: 0.2575 0.7500 0.2856 (multiplicity 2)  3 La 2.94-2.98, 2 Tb 3.03, 1 S 3.21
S: 0.3222 0.7500 0.7512 (multiplicity 2)  3 La 2.82, 1 Tb 2.85
S: 0.3971 0.2500 0.5417 (multiplicity 2)  3 Tb 2.84-2.90, 2 La 3.12
S: 0.4147 0.7500 0.0996 (multiplicity 2)  3 La 2.87-2.92, 1 S 3.21

Computed properties:
theoretical density: 4.803 g/cm3
uncorrected energy: -6.5188 eV/atom
relative energy among the computed polymorphs: 58.5 meV/atom
magnetization: 0.00 μB per cell

***

# 2
Here is a relaxed CeSb4Pd12 crystal from the Alexandria database. Energies are from PBE-GGA.

Cell: 8.9317 8.9317 8.9317 Å, 90.00 90.00 90.00°
Last column: nearest neighbours and their distance in Å.
Space group Im-3 (No. 204)
Asymmetric unit:
Ce: 0.0000 0.0000 0.0000 (multiplicity 2)  12 Pd 3.41
Sb: 0.2500 0.2500 0.2500 (multiplicity 8)  6 Pd 2.56
Pd: 0.0000 0.3498 0.1524 (multiplicity 24)  2 Sb 2.56, 2 Pd 2.68-2.72

Computed properties:
theoretical density: 8.876 g/cm3
uncorrected energy: -5.1388 eV/atom
magnetization: 2.41 μB per cell

***

# 3
Here is a relaxed HoHgPbAu crystal from the Alexandria database. Energies are from PBE-GGA.

Cell: 7.2794 7.2794 7.2794 Å, 90.00 90.00 90.00°
Last column: nearest neighbours and their distance in Å.
Space group F-43m (No. 216)
Asymmetric unit:
Ho: 0.0000 0.0000 0.0000 (multiplicity 4)  4 Hg 3.15, 4 Au 3.15
Hg: 0.2500 0.2500 0.7500 (multiplicity 4)  4 Pb 3.15, 4 Ho 3.15
Pb: 0.0000 0.0000 0.5000 (multiplicity 4)  4 Hg 3.15, 4 Au 3.15
Au: 0.2500 0.2500 0.2500 (multiplicity 4)  4 Pb 3.15, 4 Ho 3.15

Computed properties:
theoretical density: 13.253 g/cm3
uncorrected energy: -3.3720 eV/atom
magnetization: 0.00 μB per cell

***

# 4
Here is a relaxed BaNdY4S8 crystal from the Alexandria database. Energies are from PBE-GGA.

Cell: 8.2612 8.2612 20.5343 Å, 90.00 90.00 120.00°
Last column: nearest neighbours and their distance in Å.
Space group R3m (No. 160, hexagonal axes)
Asymmetric unit:
Ba: 0.0000 0.0000 0.0000 (multiplicity 3)  4 S 2.90-2.91
Nd: 0.0000 0.0000 0.6285 (multiplicity 3)  6 S 2.79-2.93
Y: 0.0000 0.0000 0.2520 (multiplicity 3)  4 S 2.66-2.71
Y: 0.1688 0.3376 0.4596 (multiplicity 9)  6 S 2.70-2.87
S: 0.0000 0.0000 0.3841 (multiplicity 3)  4 Y 2.71-2.87
S: 0.0000 0.0000 0.8583 (multiplicity 3)  3 Y 2.71, 1 Ba 2.91
S: 0.0426 0.5213 0.3857 (multiplicity 9)  2 Y 2.70, 1 Nd 2.79, 1 Ba 2.90
S: 0.1738 0.3476 0.2054 (multiplicity 9)  3 Y 2.66-2.86, 1 Nd 2.93

Computed properties:
theoretical density: 3.668 g/cm3
uncorrected energy: -6.6513 eV/atom
magnetization: 0.00 μB per cell

***

# 5
Here is a relaxed NaGePbO4 crystal from the Alexandria database. Energies are from PBE-GGA.

Cell: 6.2770 6.8306 8.9551 Å, 90.00 90.00 90.00°
Last column: nearest neighbours and their distance in Å.
Space group Imma (No. 74)
Asymmetric unit:
Na: 0.2500 0.2500 0.2500 (multiplicity 4)  6 O 2.34-2.46
Ge: 0.0000 0.2500 0.6350 (multiplicity 4)  4 O 1.78-1.83
Pb: 0.0000 0.0000 0.0000 (multiplicity 4)  6 O 2.35-2.39
O: 0.0000 0.0265 0.7380 (multiplicity 8)  1 Ge 1.78
O: 0.2330 0.2500 0.5113 (multiplicity 8)  1 Ge 1.83

Computed properties:
theoretical density: 6.346 g/cm3
uncorrected energy: -5.5627 eV/atom
magnetization: 0.00 μB per cell

***

# 6
Here is a relaxed Nd3Ga4Rh2 crystal from the Alexandria database. Energies are from PBE-GGA.

Cell: 11.1945 4.2980 8.6934 Å, 90.00 111.27 90.00°
Last column: nearest neighbours and their distance in Å.
Space group C2/m (No. 12)
Asymmetric unit:
Nd: 0.0000 0.0000 0.0000 (multiplicity 2)  8 Ga 3.04-3.28, 4 Rh 3.07
Nd: 0.1842 0.5000 0.6405 (multiplicity 4)  3 Rh 3.03-3.08, 7 Ga 3.14-3.28
Ga: 0.0225 0.0000 0.3594 (multiplicity 4)  2 Rh 2.57, 1 Ga 2.67
Ga: 0.2364 0.5000 0.0768 (multiplicity 4)  1 Rh 2.60, 2 Ga 2.61
Rh: 0.1039 0.5000 0.2684 (multiplicity 4)  3 Ga 2.57-2.60

Computed properties:
theoretical density: 7.817 g/cm3
uncorrected energy: -5.2955 eV/atom
magnetization: 0.00 μB per cell

***

# 7
Here is a relaxed YWN3 crystal from the Alexandria database. Energies are from PBE-GGA.

Cell: 12.3697 3.7332 5.6776 Å, 90.00 112.93 90.00°
Last column: nearest neighbours and their distance in Å.
Space group Cm (No. 8)
Asymmetric unit:
Y: 0.0000 0.0000 0.0000 (multiplicity 2)  8 N 2.28-2.53
Y: 0.1790 0.0000 0.6873 (multiplicity 2)  5 N 2.36-2.51
W: 0.2290 0.5000 0.2623 (multiplicity 2)  6 N 2.00-2.16
W: 0.4437 0.0000 0.4511 (multiplicity 2)  4 N 1.95-2.08
N: 0.0694 0.5000 0.7909 (multiplicity 2)  1 W 1.95
N: 0.0779 0.5000 0.3237 (multiplicity 2)  2 W 2.03-2.05
N: 0.2144 0.0000 0.1265 (multiplicity 2)  2 W 2.00
N: 0.3365 0.3086 0.6234 (multiplicity 4)  1 N 1.43
N: 0.4062 0.5000 0.2754 (multiplicity 2)  3 W 2.08-2.16, 1 Y 2.28

Computed properties:
theoretical density: 8.658 g/cm3
uncorrected energy: -9.5887 eV/atom
magnetization: 0.00 μB per cell

***

# 8
Here is a relaxed Sc3Pt3Rh crystal from the Alexandria database. Energies are from PBE-GGA.

Cell: 7.9804 7.9804 7.9804 Å, 90.00 90.00 90.00°
Last column: nearest neighbours and their distance in Å.
Space group P2_13 (No. 198)
Asymmetric unit:
Sc: 0.0285 0.2247 0.8770 (multiplicity 12)  6 Pt 2.69-2.86, 2 Rh 2.76-2.90
Pt: 0.0969 0.4031 0.5969 (multiplicity 4)  6 Sc 2.71-2.76, 3 Rh 2.94
Pt: 0.1361 0.8639 0.3639 (multiplicity 4)  6 Sc 2.69-2.77, 3 Pt 3.00
Pt: 0.1939 0.1939 0.1939 (multiplicity 4)  6 Sc 2.81-2.86, 3 Pt 3.00, 1 Rh 3.10
Rh: 0.0819 0.5819 0.9181 (multiplicity 4)  6 Sc 2.76-2.90, 4 Pt 2.94-3.01

Computed properties:
theoretical density: 10.756 g/cm3
uncorrected energy: -7.3309 eV/atom
magnetization: 0.00 μB per cell

***

# 9
Here is a relaxed MoBr5Cl crystal from the Alexandria database. Energies are from PBE-GGA.

Cell: 7.3716 9.2859 9.3251 Å, 107.90 96.42 107.51°
Last column: nearest neighbours and their distance in Å.
Space group P-1 (No. 2)
Asymmetric unit:
Mo: 0.0000 0.0000 0.0000 (multiplicity 1)  6 Br 2.46-2.63
Mo: 0.0000 0.5000 0.0000 (multiplicity 1)  2 Cl 2.29, 2 Br 2.51
Br: 0.0412 0.3736 0.7322 (multiplicity 2)  1 Mo 2.51
Br: 0.1714 0.7872 0.9905 (multiplicity 2)  2 Mo 2.62-2.63
Br: 0.2290 0.1056 0.8526 (multiplicity 2)  1 Mo 2.46
Br: 0.2349 0.1862 0.2438 (multiplicity 2)  1 Mo 2.46
Br: 0.3447 0.8956 0.4368 (multiplicity 2)  1 Br 2.39
Cl: 0.3027 0.5090 0.1027 (multiplicity 2)  1 Mo 2.29

Computed properties:
theoretical density: 3.124 g/cm3
uncorrected energy: -3.4031 eV/atom
magnetization: 2.00 μB per cell

***

# 10
Here is a relaxed Li7Ga2Ag3 crystal from the Alexandria database. Energies are from PBE-GGA.

Cell: 4.5493 2.8427 15.7862 Å, 90.00 97.79 90.00°
Last column: nearest neighbours and their distance in Å.
Space group P2/m (No. 10)
Asymmetric unit:
Li: 0.0000 0.0000 0.0000 (multiplicity 1)  4 Ag 2.68, 2 Li 2.84
Li: 0.1089 0.5000 0.2045 (multiplicity 2)  2 Ga 2.67, 6 Li 2.84-2.85
Li: 0.2690 0.5000 0.5399 (multiplicity 2)  4 Li 2.59-2.84, 1 Ga 2.60
Li: 0.4211 0.0000 0.8573 (multiplicity 2)  2 Ag 2.65, 2 Ga 2.76, 6 Li 2.84-2.85
Ga: 0.3486 0.5000 0.7060 (multiplicity 2)  5 Li 2.60-2.76, 2 Ga 2.84
Ag: 0.1888 0.0000 0.3726 (multiplicity 2)  2 Ag 2.84, 4 Ga 2.95, 8 Li 2.98-3.01
Ag: 0.5000 0.5000 0.0000 (multiplicity 1)  8 Li 2.65-2.68, 2 Ag 2.84

Computed properties:
theoretical density: 4.200 g/cm3
uncorrected energy: -2.4900 eV/atom
magnetization: 0.00 μB per cell

***

# 11
Here is a relaxed Dy2HoThSb4 crystal from the Alexandria database. Energies are from PBE-GGA.

Cell: 7.6361 4.4216 7.6401 Å, 90.00 109.49 90.00°
Last column: nearest neighbours and their distance in Å.
Space group P2/m (No. 10)
Asymmetric unit:
Dy: 0.0000 0.0000 0.0000 (multiplicity 1)  6 Sb 3.08-3.09
Dy: 0.5000 0.5000 0.0000 (multiplicity 1)  6 Sb 3.12-3.13
Ho: 0.0000 0.5000 0.5000 (multiplicity 1)  6 Sb 3.11-3.12
Th: 0.5000 0.0000 0.5000 (multiplicity 1)  6 Sb 3.15-3.16
Sb: 0.2435 0.5000 0.2444 (multiplicity 2)  3 Dy 3.08-3.12, 1 Ho 3.11, 2 Th 3.16
Sb: 0.2466 0.0000 0.7519 (multiplicity 2)  3 Dy 3.09-3.13, 2 Ho 3.12, 1 Th 3.15

Computed properties:
theoretical density: 8.256 g/cm3
uncorrected energy: -5.7939 eV/atom
magnetization: 0.00 μB per cell

***

# 12
Here is a relaxed BC3 crystal from the Alexandria database. Energies are from PBE-GGA.

Cell: 4.5205 2.5687 6.4496 Å, 90.00 91.05 90.00°
Last column: nearest neighbours and their distance in Å.
Space group Pm (No. 6)
Asymmetric unit:
B: 0.0000 0.0000 0.0000 (multiplicity 1)  3 C 1.59
B: 0.1972 0.5000 0.4314 (multiplicity 1)  4 C 1.61-1.66
B: 0.4156 0.0000 0.1002 (multiplicity 1)  3 C 1.54-1.59
C: 0.0452 0.0000 0.7562 (multiplicity 1)  3 C 1.56-1.62, 1 B 1.59
C: 0.2081 0.5000 0.6809 (multiplicity 1)  3 C 1.56-1.59, 1 B 1.61
C: 0.3872 0.0000 0.3383 (multiplicity 1)  1 C 1.54, 3 B 1.54-1.66
C: 0.5451 0.5000 0.7539 (multiplicity 1)  4 C 1.53-1.59
C: 0.5487 0.5000 0.9913 (multiplicity 1)  2 C 1.53-1.60, 2 B 1.59
C: 0.7048 0.0000 0.4276 (multiplicity 1)  4 C 1.54-1.57
C: 0.7070 0.0000 0.6705 (multiplicity 1)  4 C 1.57-1.62
C: 0.8620 0.5000 0.3437 (multiplicity 1)  3 C 1.52-1.57, 1 B 1.61
C: 0.8649 0.5000 0.1074 (multiplicity 1)  2 C 1.52-1.60, 2 B 1.59

Computed properties:
theoretical density: 3.116 g/cm3
uncorrected energy: -8.2608 eV/atom
relative energy among the computed polymorphs: 85.8 meV/atom
magnetization: 0.00 μB per cell

***

# 13
Here is a relaxed Y3Al3Ag crystal from the Alexandria database. Energies are from PBE-GGA.

Cell: 10.9625 4.4926 14.4549 Å, 90.00 109.99 90.00°
Last column: nearest neighbours and their distance in Å.
Space group C2/m (No. 12)
Asymmetric unit:
Y: 0.0304 0.0000 0.3794 (multiplicity 4)  6 Al 3.11-3.27, 4 Ag 3.21-3.33
Y: 0.1030 0.0000 0.9228 (multiplicity 4)  7 Al 3.13-3.24
Y: 0.2398 0.0000 0.2238 (multiplicity 4)  6 Al 3.10-3.22, 2 Ag 3.34
Al: 0.0328 0.5000 0.2314 (multiplicity 4)  1 Al 2.66, 1 Ag 2.71
Al: 0.1088 0.5000 0.0751 (multiplicity 4)  2 Al 2.62-2.66
Al: 0.1290 0.5000 0.5433 (multiplicity 4)  3 Ag 2.62-2.83, 1 Al 2.67
Ag: 0.2457 0.5000 0.3962 (multiplicity 4)  4 Al 2.62-2.83

Computed properties:
theoretical density: 4.523 g/cm3
uncorrected energy: -5.2055 eV/atom
magnetization: 0.00 μB per cell

***

# 14
Here is a relaxed TaCrOs2 crystal from the Alexandria database. Energies are from PBE-GGA.

Cell: 3.0591 4.5138 8.5936 Å, 90.00 90.00 90.00°
Last column: nearest neighbours and their distance in Å.
Space group Cmm2 (No. 35)
Asymmetric unit:
Ta: 0.0000 0.0000 0.0000 (multiplicity 2)  2 Cr 2.62, 2 Os 2.69, 4 Ta 2.73
Cr: 0.0000 0.5000 0.2472 (multiplicity 2)  2 Os 2.49, 2 Ta 2.62, 4 Cr 2.73
Os: 0.0000 0.0000 0.4753 (multiplicity 2)  2 Cr 2.49, 6 Os 2.73-2.76
Os: 0.0000 0.5000 0.7425 (multiplicity 2)  2 Ta 2.69, 6 Os 2.73-2.76

Computed properties:
theoretical density: 17.168 g/cm3
uncorrected energy: -10.6690 eV/atom
magnetization: 0.00 μB per cell

***

# 15
Here is a relaxed DyTm6Th12 crystal from the Alexandria database. Energies are from PBE-GGA.

Cell: 13.2840 13.2840 12.2838 Å, 90.00 90.00 120.00°
Last column: nearest neighbours and their distance in Å.
Space group R-3m (No. 166, hexagonal axes)
Asymmetric unit:
Dy: 0.0000 0.0000 0.0000 (multiplicity 3)  6 Tm 3.40, 6 Th 3.79
Tm: 0.0422 0.5211 0.6202 (multiplicity 18)  1 Tm 3.11, 1 Dy 3.40, 2 Th 3.41
Th: 0.0000 0.2541 0.5000 (multiplicity 18)  6 Th 3.38-3.51, 4 Tm 3.41-3.62
Th: 0.0887 0.1774 0.2603 (multiplicity 18)  6 Th 3.39-3.54, 2 Tm 3.76, 1 Dy 3.79

Computed properties:
theoretical density: 10.510 g/cm3
uncorrected energy: -6.0998 eV/atom
magnetization: 0.00 μB per cell

***

# 16
Here is a relaxed HgAs2Br crystal from the Alexandria database. Energies are from PBE-GGA.

Cell: 3.9215 5.6356 8.4411 Å, 90.00 90.00 90.00°
Last column: nearest neighbours and their distance in Å.
Space group Cmmm (No. 65)
Asymmetric unit:
Hg: 0.0000 0.0000 0.0000 (multiplicity 2)  4 As 2.76
As: 0.0000 0.5000 0.2296 (multiplicity 4)  2 Hg 2.76, 2 Br 3.01
Br: 0.0000 0.0000 0.5000 (multiplicity 2)  4 As 3.01

Computed properties:
theoretical density: 7.661 g/cm3
uncorrected energy: -2.3988 eV/atom
relative energy among the computed polymorphs: 469.3 meV/atom
magnetization: 0.00 μB per cell

***

# 17
Here is a relaxed BaTlTc3 crystal from the Alexandria database. Energies are from PBE-GGA.

Cell: 5.2266 5.2266 5.2266 Å, 90.00 90.00 90.00°
Last column: nearest neighbours and their distance in Å.
Space group Pm-3m (No. 221)
Asymmetric unit:
Ba: 0.0000 0.0000 0.0000 (multiplicity 1)  12 Tc 3.70
Tl: 0.5000 0.5000 0.5000 (multiplicity 1)  6 Tc 2.61
Tc: 0.0000 0.5000 0.5000 (multiplicity 3)  2 Tl 2.61

Computed properties:
theoretical density: 7.394 g/cm3
uncorrected energy: -5.1379 eV/atom
relative energy among the computed polymorphs: 0.0 meV/atom
magnetization: 7.86 μB per cell

***

# 18
Here is a relaxed SrAl3Tc crystal from the Alexandria database. Energies are from PBE-GGA.

Cell: 3.6859 3.6859 7.9477 Å, 90.00 90.00 90.00°
Last column: nearest neighbours and their distance in Å.
Space group P4mm (No. 99)
Asymmetric unit:
Sr: 0.0000 0.0000 0.0000 (multiplicity 1)  5 Al 3.09-3.37
Al: 0.0000 0.0000 0.6118 (multiplicity 1)  4 Tc 2.61, 4 Al 2.75
Al: 0.0000 0.5000 0.3545 (multiplicity 2)  6 Al 2.61-2.75, 2 Tc 2.81
Tc: 0.5000 0.5000 0.6220 (multiplicity 1)  8 Al 2.61-2.81

Computed properties:
theoretical density: 4.099 g/cm3
uncorrected energy: -4.6349 eV/atom
relative energy among the computed polymorphs: 342.5 meV/atom
magnetization: 0.00 μB per cell

***

# 19
Here is a relaxed ScSb2P crystal from the Alexandria database. Energies are from PBE-GGA.

Cell: 3.9934 5.6325 8.1271 Å, 90.00 90.00 90.00°
Last column: nearest neighbours and their distance in Å.
Space group Cmmm (No. 65)
Asymmetric unit:
Sc: 0.0000 0.0000 0.0000 (multiplicity 2)  4 Sb 2.91
Sb: 0.0000 0.5000 0.2611 (multiplicity 4)  2 P 2.79, 2 Sc 2.91
P: 0.0000 0.0000 0.5000 (multiplicity 2)  4 Sb 2.79

Computed properties:
theoretical density: 5.804 g/cm3
uncorrected energy: -4.9776 eV/atom
magnetization: 0.00 μB per cell

***

# 20
Here is a relaxed HfCuPd crystal from the Alexandria database. Energies are from PBE-GGA.

Cell: 4.4124 4.4124 5.7875 Å, 90.00 90.00 120.00°
Last column: nearest neighbours and their distance in Å.
Space group P6_3/mmc (No. 194)
Asymmetric unit:
Hf: 0.0000 0.0000 0.0000 (multiplicity 2)  2 Hf 2.89, 6 Cu 2.93, 6 Pd 2.93
Cu: 0.3333 0.6667 0.2500 (multiplicity 2)  3 Pd 2.55
Pd: 0.3333 0.6667 0.7500 (multiplicity 2)  3 Cu 2.55

Computed properties:
theoretical density: 11.858 g/cm3
uncorrected energy: -6.8158 eV/atom
relative energy among the computed polymorphs: 143.9 meV/atom
magnetization: 0.00 μB per cell